#P
The following is a DFT calculation (PBE) of MgTaCo after structural relaxation.

a = 2.9793 Å, b = 2.9793 Å, c = 6.5226 Å
α = 90.00°, β = 90.00°, γ = 120.00°
Last column: nearest neighbours and their distance in Å.
Positions (direct):
Mg: 0.0000 0.0000 0.0000  3 Co 2.74, 6 Mg 2.98
Ta: 0.6667 0.3333 0.4012  3 Co 2.47
Co: 0.3333 0.6667 0.6729  3 Ta 2.47, 3 Mg 2.74

Results
Symmetry: No. 156

=====

#Q
The following is a DFT calculation (PBE) of MgTaCo after structural relaxation.

a = 4.2728 Å, b = 4.2728 Å, c = 4.2728 Å
α = 60.00°, β = 60.00°, γ = 60.00°
Last column: nearest neighbours and their distance in Å.
Positions (direct):
Mg: 0.0000 0.0000 0.0000  4 Ta 2.62
Ta: 0.7500 0.7500 0.7500  4 Co 2.62, 4 Mg 2.62
Co: 0.5000 0.5000 0.5000  4 Ta 2.62

Results
Symmetry: No. 216

=====

#R
The following is a DFT calculation (PBE) of MgTaCo after structural relaxation.

a = 5.9578 Å, b = 5.9578 Å, c = 5.9578 Å
α = 151.50°, β = 151.50°, γ = 40.75°
Last column: nearest neighbours and their distance in Å.
Positions (direct):
Mg: 0.0000 0.0000 0.0000  4 Co 2.72, 4 Mg 2.93
Ta: 0.7111 0.7111 0.0000  4 Co 2.54
Co: 0.3420 0.3420 0.0000  4 Ta 2.54, 4 Mg 2.72

Results
Symmetry: No. 107

=====

Pick #R: it beats the second-best structure by 169 meV per atom.